# La2Tb2Y4Er

A geometry-optimized La2Tb2Y4Er structure (PBE, the Alexandria database).

## Properties
- Energy: -5.504 eV per atom
- Energy of formation: -0.4 meV/atom
- Crystal system: monoclinic
- Magnetization: 0.0 μB per cell

Cell lengths 3.635, 9.589, 9.644 Å; angles 115.20, 90.00, 100.93 degrees
Fractional positions:
Er 0.000 0.000 0.000
La 0.665 0.330 0.997
La 0.335 0.670 0.003
Tb 0.853 0.705 0.337
Tb 0.147 0.295 0.663
Y 0.814 0.629 0.664
Y 0.480 0.960 0.664
Y 0.520 0.040 0.336
Y 0.186 0.371 0.336


# NaTi2Be

A geometry-optimized NaTi2Be structure (PBE, the Alexandria database).

## Properties
- Energy: -4.303 eV per atom
- Energy of formation: 905.7 meV/atom
- Crystal system: tetragonal
- Magnetization: 0.0 μB per cell

Cell lengths 3.759, 3.759, 10.384 Å; angles 79.57, 79.57, 90.00 degrees
Fractional positions:
Ti 0.601 0.625 0.250
Ti 0.875 0.399 0.750
Ti 0.149 0.125 0.250
Ti 0.375 0.851 0.750
Na 0.750 0.250 0.500
Na 0.000 0.000 0.000
Be 0.500 0.500 0.000
Be 0.250 0.750 0.500


> Look up the energy of the first one.

-5.504 eV per atom


> Which value of magnetization does entry 2 give?

0.0 μB per cell


> Look up the energy of the second one.

-4.303 eV per atom